An optimized crystal structure of Y2HI3. Source: Alexandria, functional PBE-GGA.

Cell lengths 19.4417, 4.0046, 12.1005 Å; angles 90.00, 123.10, 90.00 degrees
Closest atoms and distances in Å follow each position.
Space group C2/m (No. 12)
One atom of each set of equivalent atoms:
Y (0.0675, 0.0000, 0.4640) [4 per cell]  2 H 2.31-2.33
Y (0.1321, 0.5000, 0.7840) [4 per cell]  2 H 2.38
H (0.0754, 0.0000, 0.6612) [4 per cell]  4 Y 2.31-2.38
I (0.0366, 0.5000, 0.2447) [4 per cell]  3 Y 3.10-3.11
I (0.1666, 0.0000, 0.0074) [4 per cell]  3 Y 3.13-3.30
I (0.2113, 0.5000, 0.6198) [4 per cell]  3 Y 3.10-3.11

Results
Calculated total energy in eV per atom: -4.549
Magnetic moment in μB per cell: 3.72


An optimized crystal structure of TbBe2Pt3. Source: Alexandria, functional PBE-GGA.

Cell lengths 9.1167, 9.1167, 3.8716 Å; angles 90.00, 90.00, 120.00 degrees
Closest atoms and distances in Å follow each position.
Space group P6/mmm (No. 191)
One atom of each set of equivalent atoms:
Tb (0.0000, 0.0000, 0.0000) [1 per cell]  6 Be 2.88
Tb (0.3333, 0.6667, 0.5000) [2 per cell]  6 Be 3.07, 12 Pt 3.24-3.27
Be (0.1821, 0.3642, 0.0000) [6 per cell]  6 Pt 2.42-2.52
Pt (0.0000, 0.2921, 0.5000) [6 per cell]  4 Be 2.42, 2 Pt 2.66
Pt (0.0000, 0.5000, 0.0000) [3 per cell]  4 Be 2.52, 4 Pt 2.71

Results
Calculated total energy in eV per atom: -5.831
Magnetic moment in μB per cell: 0.00


An optimized crystal structure of Ti2NiPb. Source: Alexandria, functional PBE-GGA.

Cell lengths 7.2075, 7.2075, 5.6819 Å; angles 90.00, 90.00, 90.00 degrees
Closest atoms and distances in Å follow each position.
Space group I-42d (No. 122)
One atom of each set of equivalent atoms:
Ti (0.1943, 0.2500, 0.1250) [8 per cell]  2 Ni 2.39
Ni (0.0000, 0.0000, 0.0000) [4 per cell]  4 Ti 2.39
Pb (0.0000, 0.0000, 0.5000) [4 per cell]  2 Ni 2.84, 8 Ti 2.93-3.12

Results
Calculated total energy in eV per atom: -6.189
Magnetic moment in μB per cell: 0.00